Model P:
Density functional theory data (PBE-GGA) for a relaxed structure of Cd3SnGe.

Calculated values
The value obtained for the calculated volume is 33.1 Å³/atom. The density of states at the Fermi level comes out at 0.97 states/eV per atom.

a b c (Å): 5.4889 5.4889 5.4889
angles (deg): 90.00 90.00 90.00
Positions (direct):
1 Cd 0.5000 0.0000 0.0000
2 Cd 0.0000 0.5000 0.0000
3 Cd 0.0000 0.0000 0.5000
4 Sn 0.0000 0.0000 0.0000
5 Ge 0.5000 0.5000 0.5000

***

Model Q:
Density functional theory data (PBE-GGA) for a relaxed structure of Cd3SnGe.

Calculated values
The value obtained for the calculated volume is 28.8 Å³/atom. The density of states at the Fermi level comes out at 0.77 states/eV per atom.

a b c (Å): 5.2427 5.2427 5.2427
angles (deg): 90.00 90.00 90.00
Positions (direct):
1 Sn 0.5000 0.5000 0.5000
2 Ge 0.0000 0.0000 0.0000
3 Cd 0.0000 0.0000 0.5000
4 Cd 0.5000 0.0000 0.0000
5 Cd 0.0000 0.5000 0.0000

***

Taking the most stable structure as the zero point, the relative energies in kJ/mol of atoms are model P 27.2; model Q 0.0.

***

Model P:
Density functional theory data (PBE-GGA) for a relaxed structure of CdSnGe2.

Calculated values
The value obtained for the calculated volume is 29.7 Å³/atom. The density of states at the Fermi level comes out at 0.40 states/eV per atom.

a b c (Å): 6.3573 6.3573 7.4003
angles (deg): 64.56 64.56 90.00
Positions (direct):
1 Ge 0.3750 0.3745 0.7500
2 Ge 0.6255 0.1250 0.2500
3 Ge 0.8750 0.8755 0.7500
4 Ge 0.1245 0.6250 0.2500
5 Cd 0.2500 0.7500 0.5000
6 Cd 0.5000 0.5000 0.0000
7 Sn 0.0000 0.0000 0.0000
8 Sn 0.7500 0.2500 0.5000

***

Model Q:
Density functional theory data (PBE-GGA) for a relaxed structure of CdSnGe2.

Calculated values
The value obtained for the calculated volume is 22.5 Å³/atom. The density of states at the Fermi level comes out at 0.55 states/eV per atom.

a b c (Å): 5.0330 5.0330 5.0330
angles (deg): 60.00 60.00 60.00
Positions (direct):
1 Ge 0.2500 0.2500 0.2500
2 Ge 0.7500 0.7500 0.7500
3 Sn 0.5000 0.5000 0.5000
4 Cd 0.0000 0.0000 0.0000

***

Taking the most stable structure as the zero point, the relative energies in kJ/mol of atoms are model P 2.5; model Q 0.0.

***

Model P:
Density functional theory data (PBE-GGA) for a relaxed structure of CdTcSn2Ge.

Calculated values
The value obtained for the calculated volume is 26.4 Å³/atom. The density of states at the Fermi level comes out at 0.62 states/eV per atom.

a b c (Å): 5.2543 5.2543 4.7793
angles (deg): 90.00 90.00 90.00
Positions (direct):
1 Sn 0.5000 0.0000 0.0000
2 Sn 0.0000 0.5000 0.0000
3 Cd 0.5000 0.5000 0.5000
4 Ge 0.0000 0.0000 0.5000
5 Tc 0.0000 0.0000 0.0000

***

Model Q:
Density functional theory data (PBE-GGA) for a relaxed structure of CdTcSn2Ge.

Calculated values
The value obtained for the calculated volume is 27.8 Å³/atom. The density of states at the Fermi level comes out at 0.85 states/eV per atom.

a b c (Å): 5.1104 5.3219 5.1104
angles (deg): 90.00 90.00 90.00
Last column: magnetic moment on the atom in μB.
Positions (direct):
1 Ge 0.5000 0.5000 0.5000  0.35
2 Sn 0.0000 0.0000 0.5000  -0.02
3 Sn 0.5000 0.0000 0.0000  -0.01
4 Cd 0.0000 0.5000 0.0000  -0.01
5 Tc 0.0000 0.0000 0.0000  0.54

***

Taking the most stable structure as the zero point, the relative energies in kJ/mol of atoms are model P 0.0; model Q 37.5.

***

Model P:
Density functional theory data (PBE-GGA) for a relaxed structure of SrCdGe3.

Calculated values
The value obtained for the calculated volume is 28.8 Å³/atom. The density of states at the Fermi level comes out at 0.75 states/eV per atom.

a b c (Å): 5.2440 5.2440 5.2440
angles (deg): 90.00 90.00 90.00
Positions (direct):
1 Sr 0.5000 0.5000 0.5000
2 Ge 0.5000 0.0000 0.0000
3 Ge 0.0000 0.5000 0.0000
4 Ge 0.0000 0.0000 0.5000
5 Cd 0.0000 0.0000 0.0000

***

Model Q:
Density functional theory data (PBE-GGA) for a relaxed structure of SrCdGe3.

Calculated values
The value obtained for the calculated volume is 37.3 Å³/atom. The density of states at the Fermi level comes out at 1.56 states/eV per atom.

a b c (Å): 5.7121 5.7121 5.7121
angles (deg): 90.00 90.00 90.00
Positions (direct):
1 Ge 0.0000 0.5000 0.0000
2 Ge 0.0000 0.0000 0.5000
3 Ge 0.5000 0.0000 0.0000
4 Cd 0.5000 0.5000 0.5000
5 Sr 0.0000 0.0000 0.0000

***

Taking the most stable structure as the zero point, the relative energies in kJ/mol of atoms are model P 0.0; model Q 80.8.

***

Model P:
Density functional theory data (PBE-GGA) for a relaxed structure of TaCdGe3.

Calculated values
The value obtained for the calculated volume is 24.5 Å³/atom. The density of states at the Fermi level comes out at 1.24 states/eV per atom.

a b c (Å): 4.9692 4.9692 4.9692
angles (deg): 90.00 90.00 90.00
Positions (direct):
1 Ge 0.5000 0.0000 0.0000
2 Ge 0.0000 0.0000 0.5000
3 Ge 0.0000 0.5000 0.0000
4 Ta 0.5000 0.5000 0.5000
5 Cd 0.0000 0.0000 0.0000

***

Model Q:
Density functional theory data (PBE-GGA) for a relaxed structure of TaCdGe3.

Calculated values
The value obtained for the calculated volume is 25.9 Å³/atom. The density of states at the Fermi level comes out at 0.94 states/eV per atom.

a b c (Å): 5.0614 5.0614 5.0614
angles (deg): 90.00 90.00 90.00
Positions (direct):
1 Ta 0.0000 0.0000 0.0000
2 Ge 0.0000 0.5000 0.0000
3 Ge 0.5000 0.0000 0.0000
4 Ge 0.0000 0.0000 0.5000
5 Cd 0.5000 0.5000 0.5000

***

Taking the most stable structure as the zero point, the relative energies in kJ/mol of atoms are model P 109.2; model Q 0.0.

***

Model P:
Density functional theory data (PBE-GGA) for a relaxed structure of TbCd2Ge.

Calculated values
The value obtained for the calculated volume is 22.5 Å³/atom. The density of states at the Fermi level comes out at 0.42 states/eV per atom.

a b c (Å): 4.9074 4.2778 4.2778
angles (deg): 90.00 90.00 90.00
Positions (direct):
1 Cd 0.0000 0.0000 0.5000
2 Cd 0.0000 0.5000 0.0000
3 Tb 0.5000 0.0000 0.0000
4 Ge 0.5000 0.5000 0.5000

***

Model Q:
Density functional theory data (PBE-GGA) for a relaxed structure of TbCd2Ge.

Calculated values
The value obtained for the calculated volume is 25.1 Å³/atom. The density of states at the Fermi level comes out at 0.68 states/eV per atom.

a b c (Å): 3.2393 3.2393 11.2027
angles (deg): 81.69 81.69 60.00
Positions (direct):
1 Cd 0.0942 0.0942 0.7174
2 Cd 0.9058 0.9058 0.2826
3 Ge 0.5000 0.5000 0.5000
4 Tb 0.0000 0.0000 0.0000

***

Taking the most stable structure as the zero point, the relative energies in kJ/mol of atoms are model P 0.0; model Q 63.3.

***

Model P:
Density functional theory data (PBE-GGA) for a relaxed structure of TbCdGe2.

Calculated values
The value obtained for the calculated volume is 21.1 Å³/atom. The density of states at the Fermi level comes out at 0.36 states/eV per atom.

a b c (Å): 4.1227 4.5274 4.5274
angles (deg): 90.00 90.00 90.00
Positions (direct):
1 Ge 0.0000 0.5000 0.0000
2 Ge 0.0000 0.0000 0.5000
3 Tb 0.5000 0.5000 0.5000
4 Cd 0.5000 0.0000 0.0000

***

Model Q:
Density functional theory data (PBE-GGA) for a relaxed structure of TbCdGe2.

Calculated values
The value obtained for the calculated volume is 21.2 Å³/atom. The density of states at the Fermi level comes out at 0.23 states/eV per atom.

a b c (Å): 4.2150 4.2150 10.0129
angles (deg): 102.15 102.15 90.00
Positions (direct):
1 Cd 0.7500 0.2500 0.5000
2 Cd 0.2500 0.7500 0.5000
3 Ge 0.3621 0.3621 0.7242
4 Ge 0.5000 0.0000 0.0000
5 Ge 0.0000 0.5000 0.0000
6 Ge 0.6379 0.6379 0.2758
7 Tb 0.8905 0.8905 0.7809
8 Tb 0.1095 0.1095 0.2191

***

Model R:
Density functional theory data (PBE-GGA) for a relaxed structure of TbCdGe2.

Calculated values
The value obtained for the calculated volume is 22.2 Å³/atom. The density of states at the Fermi level comes out at 0.54 states/eV per atom.

a b c (Å): 4.5899 4.5899 5.5495
angles (deg): 65.57 65.57 60.00
Positions (direct):
1 Ge 0.7643 0.7643 0.7071
2 Ge 0.2357 0.2357 0.2929
3 Cd 0.5000 0.5000 0.5000
4 Tb 0.0000 0.0000 0.0000

***

Taking the most stable structure as the zero point, the relative energies in kJ/mol of atoms are model P 3.6; model Q 0.0; model R 21.5.